Entry 1:
A geometry-optimized CuSi2Sb structure. Source: Alexandria via LeMat-Bulk, functional PBEsol.

Cell lengths 3.7074, 3.7074, 4.9728 Å; angles 90.00, 90.00, 90.00 degrees
Closest atoms and distances in Å follow each position.
Space group P4/mmm (No. 123)
Unique sites:
Cu 0.0000 0.0000 0.0000 [1 per cell]  4 Sb 2.62
Si 0.0000 0.5000 0.5000 [2 per cell]  4 Si 2.62
Sb 0.5000 0.5000 0.0000 [1 per cell]  4 Cu 2.62

Summary:
Total magnetization in μB/f.u.: 0.00
Fermi-level density of states in states/eV per cell: 2.1
Formation energy (no corrections) in eV per formula unit: 1.7
Crystal system: tetragonal
E in eV for the cell shown: -18.7

---

Entry 2:
A geometry-optimized Rb3TiRe structure. Source: Alexandria via LeMat-Bulk, functional PBEsol.

Cell lengths 6.4512, 6.4512, 6.4512 Å; angles 90.00, 90.00, 90.00 degrees
Closest atoms and distances in Å follow each position.
Space group Pm-3m (No. 221)
Unique sites:
Rb 0.0000 0.0000 0.5000 [3 per cell]  2 Re 3.23
Ti 0.5000 0.5000 0.5000 [1 per cell]  12 Rb 4.56
Re 0.0000 0.0000 0.0000 [1 per cell]  6 Rb 3.23

Summary:
Total magnetization in μB/f.u.: 6.64
Fermi-level density of states in states/eV per cell: 17.3
Crystal system: cubic
DFT formation energy in eV per atom: 2.280
E in eV for the cell shown: -13.3

---

Entry 3:
A geometry-optimized LiBiO2 structure. Source: Alexandria via LeMat-Bulk, functional PBEsol.

Cell lengths 7.0004, 8.4513, 5.4544 Å; angles 90.00, 129.35, 90.00 degrees
Closest atoms and distances in Å follow each position.
Space group C2/c (No. 15)
Unique sites:
Li 0.0000 0.0454 0.2500 [4 per cell]  4 O 2.02-2.03
Bi 0.0000 0.3840 0.7500 [4 per cell]  4 O 2.12-2.27
O 0.2427 0.4553 0.2696 [8 per cell]  2 Li 2.02-2.03, 1 Bi 2.12

Summary:
Total magnetization in μB/f.u.: 0.00
Fermi-level density of states in states/eV per cell: 0.0
Formation energy (no corrections) in eV per formula unit: -5.8
Crystal system: monoclinic
E in eV for the cell shown: -90.3